Entry from Alexandria via LeMat-Bulk: a geometry-optimized BeSbAuI2 structure (GGA-PBE).

abc: 5.6970 5.6970 5.4610
angles: 90.00 90.00 90.00
Each line ends with the local moment (μB).
Fractional coordinates of all 5 atoms:
I 0.0000 0.5000 0.0000  0.03
I 0.5000 0.0000 0.0000  0.03
Be 0.5000 0.5000 0.5000  -0.02
Sb 0.0000 0.0000 0.5000  0.38
Au 0.0000 0.0000 0.0000  0.03

Its energy above the lowest structure with this stoichiometry is 1.65 eV per formula unit. The total energy is -1.933 eV/atom. For the density, the calculation gives 5.45 g/cm3. Its space group is P4/mmm, No. 123.

Entry from Alexandria via LeMat-Bulk: a geometry-optimized BeSnAuI2 structure (GGA-PBE).

abc: 5.9732 4.3316 5.9732
angles: 90.00 90.00 90.00
Fractional coordinates of all 5 atoms:
Au 0.0000 0.0000 0.0000
Sn 0.5000 0.5000 0.5000
I 0.5000 0.0000 0.0000
I 0.0000 0.0000 0.5000
Be 0.0000 0.5000 0.0000

The total energy is -2.393 eV/atom. For the density, the calculation gives 6.22 g/cm3. Its space group is P4/mmm, No. 123.

Entry from Alexandria via LeMat-Bulk: a geometry-optimized BeTc2AuI structure (GGA-PBE).

abc: 5.1971 4.2579 5.1971
angles: 90.00 90.00 90.00
Each line ends with the local moment (μB).
Fractional coordinates of all 5 atoms:
Tc 0.0000 0.0000 0.5000  3.04
Tc 0.5000 0.0000 0.0000  2.57
I 0.5000 0.5000 0.5000  0.05
Be 0.0000 0.5000 0.0000  -0.10
Au 0.0000 0.0000 0.0000  0.09

The total energy is -4.359 eV/atom. For the density, the calculation gives 7.64 g/cm3. Its space group is P4/mmm, No. 123.

Entry from Alexandria via LeMat-Bulk: a geometry-optimized BeTl2AuI structure (GGA-PBE).

abc: 5.6758 5.7973 5.6758
angles: 90.00 90.00 90.00
Fractional coordinates of all 5 atoms:
I 0.0000 0.5000 0.0000
Be 0.5000 0.5000 0.5000
Tl 0.5000 0.0000 0.0000
Tl 0.0000 0.0000 0.5000
Au 0.0000 0.0000 0.0000

The total energy is -2.022 eV/atom. For the density, the calculation gives 6.59 g/cm3. Its space group is P4/mmm, No. 123.